# AcTb3PrDy

A relaxed structure of AcTb3PrDy (GGA-PBE, Alexandria).

Calculated values
As for the density: 7.9 g/cm3. The calculation puts the formation energy at 0.22 eV/atom. As for the volume: 35.42 A^3/atom.

Cell and atoms, written as extended XYZ:
```
12
Lattice="10.2216 -2.8730 0.0000 10.2216 2.8730 0.0000 -0.0017 0.0000 7.2365" Properties=species:S:1:pos:R:3 pbc="T T T"
Ac 2.9543 0.0000 3.4162
Ac 17.4872 0.0000 3.8203
Tb 0.4097 0.0000 5.5985
Tb 5.7479 0.0000 5.4286
Tb 6.7709 0.0000 1.6405
Tb 13.6706 0.0000 5.5959
Tb 14.6936 0.0000 1.8079
Tb 20.0318 0.0000 1.6380
Pr 9.0888 0.0000 5.6959
Pr 11.3527 0.0000 1.5406
Dy 3.0932 0.0000 0.1966
Dy 17.3483 0.0000 7.0399
```

---

# CaAg3Sn

A relaxed structure of CaAg3Sn (GGA-PBE, Alexandria).

Calculated values
As for the density: 5.7 g/cm3. For the energy above the most stable polymorph in this dataset, the calculation gives 0.317 eV per atom. The calculation puts the formation energy at 0.12 eV/atom. As for the volume: 28.09 A^3/atom.

Cell and atoms, written as extended XYZ:
```
5
Lattice="5.1978 0.0000 0.0000 0.0000 5.1978 0.0000 0.0000 0.0000 5.1978" Properties=species:S:1:pos:R:3 pbc="T T T"
Ca 0.0000 0.0000 0.0000
Ag 0.0000 2.5989 2.5989
Ag 2.5989 0.0000 2.5989
Ag 2.5989 2.5989 0.0000
Sn 2.5989 2.5989 2.5989
```